This record from Alexandria describes a relaxed UCdHgAu crystal. The functional is PBE.

Cell lengths 5.0508, 5.0508, 5.0508 Å; angles 60.00, 60.00, 60.00 degrees
With the nearest neighbours (Å) after each atom.
Atoms (fractional coordinates):
U  0.0000  0.0000  0.0000  4 Hg 3.09, 4 Au 3.09
Cd  0.5000  0.5000  0.5000  4 Hg 3.09, 4 Au 3.09
Hg  0.7500  0.7500  0.7500  4 U 3.09, 4 Cd 3.09
Au  0.2500  0.2500  0.2500  4 Cd 3.09, 4 U 3.09

Properties
The calculation puts the volume at 91 Å³/cell. The density of states at the Fermi level comes out at 10.3 states/eV per cell. The electronic total energy comes out at -15.77 eV for the cell shown. For the formation energy, the calculation gives 0.003 eV per atom.